Here is a relaxed structure of VFe2Sb8 from Alexandria. Energies are from PBE.

Cell lengths 7.6030, 6.5455, 6.5455 Å; angles 76.54, 116.04, 116.04 degrees
Last column: nearest neighbours and their distance in Å.
Positions (direct):
V  0.0000  0.0000  0.0000  8 Sb 2.79-2.87, 2 Fe 3.01
Fe  0.5220  0.8092  0.8092  7 Sb 2.51-2.65
Fe  0.4780  0.1908  0.1908  7 Sb 2.51-2.65
Sb  0.2735  0.3708  0.8076  2 Fe 2.63-2.65, 1 V 2.87
Sb  0.7265  0.1924  0.6292  2 Fe 2.63-2.65, 1 V 2.87
Sb  0.2569  0.8812  0.8812  2 Fe 2.51-2.64
Sb  0.7431  0.1188  0.1188  2 Fe 2.51-2.64
Sb  0.2735  0.8076  0.3708  2 Fe 2.63-2.65, 1 V 2.87
Sb  0.7265  0.6292  0.1924  2 Fe 2.63-2.65, 1 V 2.87
Sb  0.7304  0.6730  0.6730  1 Fe 2.64, 1 V 2.79
Sb  0.2696  0.3270  0.3270  1 Fe 2.64, 1 V 2.79

energy relative to the elements, uncorrected	3.4	kcal/mol of atoms
symmetry	C2/m
total energy	-5.22	eV/atom



Here is a relaxed structure of RbNaPb6 from Alexandria. Energies are from PBE.

Cell lengths 5.4159, 7.5473, 7.5473 Å; angles 120.03, 90.00, 90.00 degrees
Last column: nearest neighbours and their distance in Å.
Positions (direct):
Rb  0.5000  0.4169  0.5831  12 Pb 3.69-3.78
Na  0.0000  0.0829  0.9171  6 Pb 3.37
Pb  0.0000  0.0336  0.3920  6 Pb 3.21-3.45
Pb  0.0000  0.6080  0.9664  6 Pb 3.21-3.45
Pb  0.0000  0.6084  0.3916  6 Pb 3.21-3.45
Pb  0.5000  0.3911  0.0703  2 Na 3.37, 6 Pb 3.45-3.49, 2 Rb 3.78
Pb  0.5000  0.9297  0.6089  2 Na 3.37, 6 Pb 3.45-3.49, 2 Rb 3.78
Pb  0.5000  0.9291  0.0709  2 Na 3.37, 6 Pb 3.45-3.49, 2 Rb 3.78

symmetry	Amm2
energy relative to the lowest polymorph listed for this composition	10	meV per atom
total energy	-3.12	eV/atom
formation energy from the elements	-0.0541	eV per atom



Here is a relaxed structure of Pr3Hg2Pb from Alexandria. Energies are from PBE.

Cell lengths 3.8756, 5.5146, 8.7877 Å; angles 108.29, 90.00, 90.00 degrees
Last column: nearest neighbours and their distance in Å.
Positions (direct):
Pr  0.5000  0.5000  0.0000  4 Pb 3.37, 4 Hg 3.46
Pr  0.5000  0.8312  0.6624  6 Hg 3.29-3.37, 2 Pb 3.42
Pr  0.5000  0.1688  0.3376  6 Hg 3.29-3.37, 2 Pb 3.42
Hg  0.0000  0.3279  0.6559  8 Pr 3.29-3.46
Hg  0.0000  0.6721  0.3441  8 Pr 3.29-3.46
Pb  0.0000  0.0000  0.0000  8 Pr 3.37-3.42

symmetry	Cmmm
energy relative to the lowest polymorph listed for this composition	0	meV per atom
total energy	-3.60	eV/atom
formation energy from the elements	-0.4932	eV per atom



Here is a relaxed structure of ZrTlP2Cl from Alexandria. Energies are from PBE.

Cell lengths 5.0275, 5.0275, 5.0632 Å; angles 90.00, 90.00, 90.00 degrees
Last column: nearest neighbours and their distance in Å.
Positions (direct):
P  0.0000  0.5000  0.0000  2 Tl 2.51
P  0.5000  0.0000  0.0000  2 Tl 2.51
Tl  0.0000  0.0000  0.0000  4 P 2.51, 2 Cl 2.53
Zr  0.5000  0.5000  0.5000  4 Cl 3.55, 8 P 3.57
Cl  0.0000  0.0000  0.5000  2 Tl 2.53

energy relative to the elements, uncorrected	19.6	kcal/mol of atoms
symmetry	P4/mmm
energy relative to the lowest polymorph listed for this composition	1196	meV per atom
total energy	-3.87	eV/atom



Here is a relaxed structure of In2Ga2Pb from Alexandria. Energies are from PBE.

Cell lengths 8.5003, 8.5003, 3.4960 Å; angles 90.00, 90.00, 90.00 degrees
Last column: nearest neighbours and their distance in Å.
Positions (direct):
Pb  0.0000  0.0000  0.0000  4 In 3.33, 2 Pb 3.50, 8 Ga 3.60
Pb  0.5000  0.5000  0.0000  4 In 3.33, 2 Pb 3.50, 8 Ga 3.60
Ga  0.1712  0.6712  0.5000  6 In 2.95-3.12
Ga  0.6712  0.8288  0.5000  6 In 2.95-3.12
Ga  0.8288  0.3288  0.5000  6 In 2.95-3.12
Ga  0.3288  0.1712  0.5000  6 In 2.95-3.12
In  0.3693  0.8693  0.0000  6 Ga 2.95-3.12, 1 In 3.14
In  0.8693  0.6307  0.0000  6 Ga 2.95-3.12, 1 In 3.14
In  0.6307  0.1307  0.0000  6 Ga 2.95-3.12, 1 In 3.14
In  0.1307  0.3693  0.0000  6 Ga 2.95-3.12, 1 In 3.14

symmetry	P4/mbm
energy relative to the lowest polymorph listed for this composition	22	meV per atom
total energy	-2.97	eV/atom
formation energy from the elements	0.0745	eV per atom



Here is a relaxed structure of Tm5Bi4Pb from Alexandria. Energies are from PBE.

Cell lengths 6.2609, 7.6689, 7.6689 Å; angles 80.41, 65.91, 65.91 degrees
Last column: nearest neighbours and their distance in Å.
Positions (direct):
Tm  0.9009  0.3973  0.8028  1 Pb 3.11, 5 Bi 3.13-3.14
Tm  0.2982  0.8028  0.6027  1 Pb 3.11, 5 Bi 3.13-3.14
Tm  0.7037  0.1972  0.3973  1 Pb 3.11, 5 Bi 3.13-3.14
Tm  0.1010  0.6027  0.1972  1 Pb 3.11, 5 Bi 3.13-3.14
Tm  0.5014  0.0000  0.0000  2 Pb 3.13, 4 Bi 3.13
Bi  0.4026  0.3993  0.7975  6 Tm 3.13-3.14
Bi  0.8019  0.7975  0.6007  6 Tm 3.13-3.14
Bi  0.2000  0.2025  0.3993  6 Tm 3.13-3.14
Bi  0.5994  0.6007  0.2025  6 Tm 3.13-3.14
Pb  0.0013  0.0000  0.0000  6 Tm 3.11-3.13

symmetry	I4/m
energy relative to the lowest polymorph listed for this composition	3	meV per atom
total energy	-4.84	eV/atom
formation energy from the elements	-0.6783	eV per atom



Here is a relaxed structure of Pr3Cu from Alexandria. Energies are from PBE.

Cell lengths 6.2981, 9.2226, 9.2226 Å; angles 83.30, 70.03, 70.03 degrees
Last column: nearest neighbours and their distance in Å.
Positions (direct):
Pr  0.3689  0.9579  0.8034  2 Cu 3.16-3.20, 1 Pr 3.49
Pr  0.1301  0.0421  0.1966  2 Cu 3.16-3.20, 1 Pr 3.49
Pr  0.8277  0.8034  0.0421  2 Cu 3.16-3.20, 1 Pr 3.49
Pr  0.6732  0.1966  0.9579  2 Cu 3.16-3.20, 1 Pr 3.49
Pr  0.5528  0.3316  0.5977  4 Cu 3.04-3.28, 1 Pr 3.38
Pr  0.4821  0.6684  0.4023  4 Cu 3.04-3.28, 1 Pr 3.38
Pr  0.8495  0.5977  0.6684  4 Cu 3.04-3.28, 1 Pr 3.38
Pr  0.1156  0.4023  0.3316  4 Cu 3.04-3.28, 1 Pr 3.38
Pr  0.9755  0.9506  0.6021  3 Cu 3.10-3.23, 1 Pr 3.43
Pr  0.5283  0.0494  0.3979  3 Cu 3.10-3.23, 1 Pr 3.43
Pr  0.4223  0.6021  0.0494  3 Cu 3.10-3.23, 1 Pr 3.43
Pr  0.0738  0.3979  0.9506  3 Cu 3.10-3.23, 1 Pr 3.43
Cu  0.0647  0.2486  0.6534  9 Pr 3.04-3.28
Cu  0.9666  0.7514  0.3466  9 Pr 3.04-3.28
Cu  0.2819  0.6534  0.7514  9 Pr 3.04-3.28
Cu  0.6867  0.3466  0.2486  9 Pr 3.04-3.28

symmetry	I-4
energy relative to the lowest polymorph listed for this composition	56	meV per atom
total energy	-4.62	eV/atom
formation energy from the elements	-0.0103	eV per atom



Here is a relaxed structure of Na2ZrGeSe4 from Alexandria. Energies are from PBE.

Cell lengths 3.9866, 7.0285, 7.2346 Å; angles 107.76, 90.00, 90.00 degrees
Last column: nearest neighbours and their distance in Å.
Positions (direct):
Na  0.5000  0.0000  0.5000  6 Se 3.05-3.07
Na  0.0000  0.5000  0.5000  6 Se 2.98-3.00
Zr  0.5000  0.5000  0.0000  6 Se 2.70-2.75
Ge  0.0000  0.0000  0.0000  6 Se 2.79-2.81
Se  0.5000  0.2507  0.2192  1 Zr 2.70, 2 Ge 2.81, 2 Na 3.00
Se  0.5000  0.7493  0.7808  1 Zr 2.70, 2 Ge 2.81, 2 Na 3.00
Se  0.0000  0.2667  0.7822  2 Zr 2.75, 1 Ge 2.79, 3 Na 2.98-3.05
Se  0.0000  0.7333  0.2178  2 Zr 2.75, 1 Ge 2.79, 3 Na 2.98-3.05

energy relative to the elements, uncorrected	-23.7	kcal/mol of atoms
symmetry	P2/m
total energy	-4.75	eV/atom



Here is a relaxed structure of CaLa2Co2 from Alexandria. Energies are from PBE.

Cell lengths 4.8791, 4.8791, 6.2192 Å; angles 66.91, 66.91, 90.00 degrees
Last column: nearest neighbours and their distance in Å.
Positions (direct):
Ca  0.0000  0.0000  0.0000  8 La 3.56, 8 Co 3.64
Co  0.3879  0.3879  0.2242  1 Co 2.32
Co  0.6121  0.6121  0.7758  1 Co 2.32
La  0.7500  0.2500  0.5000  4 Co 2.83
La  0.2500  0.7500  0.5000  4 Co 2.83

symmetry	I4/mmm
energy relative to the lowest polymorph listed for this composition	222	meV per atom
total energy	-5.05	eV/atom
formation energy from the elements	0.1683	eV per atom



Here is a relaxed structure of LaYSi2 from Alexandria. Energies are from PBE.

Cell lengths 5.2673, 5.2673, 3.4250 Å; angles 90.01, 90.01, 78.20 degrees
Last column: nearest neighbours and their distance in Å.
Positions (direct):
La  0.0000  0.5000  0.5000  8 Si 3.14, 2 Y 3.32, 2 La 3.42
Si  0.0000  0.0000  0.0000  4 La 3.14, 4 Y 3.14, 4 Si 3.32-3.42
Si  0.5000  0.5000  0.0000  4 Y 3.14, 4 La 3.14, 4 Si 3.32-3.42
Y  0.5000  0.0000  0.5000  8 Si 3.14, 2 La 3.32, 2 Y 3.42

energy relative to the elements, uncorrected	-10.5	kcal/mol of atoms
symmetry	Cmmm
energy relative to the lowest polymorph listed for this composition	314	meV per atom
total energy	-6.01	eV/atom



Here is a relaxed structure of La3CdRu from Alexandria. Energies are from PBE.

Cell lengths 5.5092, 5.5092, 5.5092 Å; angles 90.00, 90.00, 90.00 degrees
Last column: nearest neighbours and their distance in Å.
Positions (direct):
Ru  0.0000  0.0000  0.0000  6 La 2.75
Cd  0.5000  0.5000  0.5000  12 La 3.90
La  0.0000  0.5000  0.0000  2 Ru 2.75
La  0.0000  0.0000  0.5000  2 Ru 2.75
La  0.5000  0.0000  0.0000  2 Ru 2.75

symmetry	Pm-3m
energy relative to the lowest polymorph listed for this composition	64	meV per atom
total energy	-5.23	eV/atom
formation energy from the elements	-0.2346	eV per atom



Here is a relaxed structure of Co2OsPt from Alexandria. Energies are from PBE.

Cell lengths 4.0105, 2.6511, 5.0403 Å; angles 74.78, 90.00, 90.00 degrees
Last column: nearest neighbours and their distance in Å.
Positions (direct):
Co  0.0000  0.1874  0.0003  4 Co 2.37-2.65, 3 Os 2.61, 4 Pt 2.64
Co  0.5000  0.0581  0.2594  4 Co 2.37-2.65, 1 Pt 2.52, 4 Os 2.60
Os  0.0000  0.4560  0.4627  7 Co 2.60-2.61, 2 Os 2.65, 4 Pt 2.85
Pt  0.5000  0.7985  0.7777  7 Co 2.52-2.69, 2 Pt 2.65

symmetry	Amm2
total energy	-7.75	eV/atom
formation energy from the elements	0.1202	eV per atom



Here is a relaxed structure of SrCd2Cu from Alexandria. Energies are from PBE.

Cell lengths 4.7207, 4.7207, 6.1056 Å; angles 67.27, 67.27, 60.02 degrees
Last column: nearest neighbours and their distance in Å.
Positions (direct):
Cd  0.9590  0.9590  0.1231  3 Cu 2.93, 3 Cd 2.94
Cd  0.2252  0.2252  0.3244  3 Cu 2.73, 3 Cd 2.94
Cu  0.5603  0.5603  0.3192  6 Cd 2.73-2.93
Sr  0.7555  0.7555  0.7333  4 Cu 3.20-3.54, 7 Cd 3.33-3.52

symmetry	R3m
total energy	-2.06	eV/atom
formation energy from the elements	-0.1564	eV per atom